(1)
DFT (PBE) results for an optimized crystal structure of Nd3PtC.

As for the magnetization: 0.000 μB per atom. Its energy of formation is -485 meV per atom.

The structure belongs to space group Pnma (No. 62); the cell edges are 8.875, 3.847 and 14.041 Å and the angles 90.00°, 90.00° and 90.00°. The distinct sites, in fractional coordinates, are Nd at (0.008, 0.250, 0.107), Nd at (0.173, 0.250, 0.529), Nd at (0.193, 0.750, 0.300), Pt at (0.094, 0.750, 0.684) and C at (0.162, 0.250, 0.948).

(2)
DFT (PBE) results for an optimized crystal structure of Nd6Pt2C.

As for the magnetization: 0.000 μB per atom. Its energy of formation is -569 meV per atom.

The structure belongs to space group P2_1/c (No. 14); the cell edges are 6.715, 7.370 and 11.905 Å and the angles 90.00°, 122.55° and 90.00°. The distinct sites, in fractional coordinates, are Nd at (0.115, 0.037, 0.239), Nd at (0.234, 0.693, 0.061), Nd at (0.370, 0.174, 0.059), Pt at (0.304, 0.100, 0.754) and C at (0.000, 0.000, 0.000).

(3)
DFT (PBE) results for an optimized crystal structure of NdPuC2.

As for the magnetization: 0.801 μB per atom. Its energy of formation is 112 meV per atom.

The structure belongs to space group R-3m (No. 166, hexagonal axes); the cell edges are 3.6282, 3.6282 and 17.5005 Å and the angles 90.00°, 90.00° and 120.00°. The distinct sites, in fractional coordinates, are Nd at (0.0000, 0.0000, 0.0000), Pu at (0.0000, 0.0000, 0.5000) and C at (0.0000, 0.0000, 0.2340).

(4)
DFT (PBE) results for an optimized crystal structure of Nd3PuC.

As for the magnetization: 1.513 μB per atom. Its energy of formation is 231 meV per atom.

The structure belongs to space group Pm-3m (No. 221); the cell edges are 5.215, 5.215 and 5.215 Å and the angles 90.00°, 90.00° and 90.00°. The distinct sites, in fractional coordinates, are Nd at (0.000, 0.000, 0.500), Pu at (0.500, 0.500, 0.500) and C at (0.000, 0.000, 0.000).

(5)
DFT (PBE) results for an optimized crystal structure of NdPu2ReC4.

As for the magnetization: 1.158 μB per atom. Its energy of formation is 54 meV per atom.

The structure belongs to space group Cmcm (No. 63); the cell edges are 3.519, 11.918 and 12.283 Å and the angles 90.00°, 90.00° and 90.00°. The distinct sites, in fractional coordinates, are Nd at (0.000, 0.102, 0.250), Pu at (0.000, 0.370, 0.038), Re at (0.000, 0.161, 0.750), C at (0.000, 0.000, 0.000), C at (0.000, 0.259, 0.626) and C at (0.000, 0.426, 0.250).

(6)
DFT (PBE) results for an optimized crystal structure of Nd2Pu2Sb2C.

As for the magnetization: 1.627 μB per atom. The calculation puts the raw formation energy at -0.671 eV/atom.

The structure belongs to space group I4/mmm (No. 139); the cell edges are 4.747, 4.747 and 16.653 Å and the angles 90.00°, 90.00° and 90.00°. The distinct sites, in fractional coordinates, are Nd at (0.000, 0.000, 0.163), Pu at (0.000, 0.500, 0.000), Sb at (0.000, 0.000, 0.360) and C at (0.000, 0.000, 0.000).

(7)
DFT (PBE) results for an optimized crystal structure of Nd2PuTc2C4.

As for the magnetization: 0.541 μB per atom. Its energy of formation is 43 meV per atom.

The structure belongs to space group C2/m (No. 12); the cell edges are 13.733, 3.522 and 6.123 Å and the angles 90.00°, 109.24° and 90.00°. The distinct sites, in fractional coordinates, are Nd at (0.134, 0.000, 0.027), Pu at (0.000, 0.000, 0.500), Tc at (0.180, 0.500, 0.500), C at (0.041, 0.500, 0.267) and C at (0.224, 0.000, 0.707).

(8)
DFT (PBE) results for an optimized crystal structure of RbNd2C.

As for the magnetization: 0.000 μB per atom. Its energy of formation is 93 meV per atom.

The structure belongs to space group R-3m (No. 166, hexagonal axes); the cell edges are 3.7716, 3.7716 and 33.7709 Å and the angles 90.00°, 90.00° and 120.00°. The distinct sites, in fractional coordinates, are Rb at (0.0000, 0.0000, 0.0000), Nd at (0.0000, 0.0000, 0.1255) and C at (0.0000, 0.0000, 0.5000).